# 1
VASP calculation (PBE-GGA) on crystalline LaErInRh at its relaxed geometry.

Properties
space-group type	F-43m, No. 216
crystal system	cubic
total energy	-5.381	eV/atom

Cell lengths 5.2111, 5.2111, 5.2111 Å; angles 60.00, 60.00, 60.00 degrees
Closest atoms and distances in Å follow each position.
Atoms (fractional coordinates):
La  0.0000  0.0000  0.0000  4 In 3.19, 4 Rh 3.19
Er  0.5000  0.5000  0.5000  4 In 3.19, 4 Rh 3.19
In  0.7500  0.7500  0.7500  4 La 3.19, 4 Er 3.19
Rh  0.2500  0.2500  0.2500  4 Er 3.19, 4 La 3.19

# 2
VASP calculation (PBE-GGA) on crystalline LaErInRu at its relaxed geometry.

Properties
space-group type	F-43m, No. 216
crystal system	cubic
total energy	-5.632	eV/atom

Cell lengths 5.1733, 5.1733, 5.1733 Å; angles 60.00, 60.00, 60.00 degrees
Closest atoms and distances in Å follow each position.
Atoms (fractional coordinates):
La  0.0000  0.0000  0.0000  4 In 3.17, 4 Ru 3.17
Er  0.5000  0.5000  0.5000  4 Ru 3.17, 4 In 3.17
In  0.7500  0.7500  0.7500  4 Er 3.17, 4 La 3.17
Ru  0.2500  0.2500  0.2500  4 Er 3.17, 4 La 3.17

# 3
VASP calculation (PBE-GGA) on crystalline La2ErInSe5 at its relaxed geometry.

Properties
ΔE_f (raw)	-1.55	eV/atom
space-group type	Cmc2_1, No. 36
crystal system	orthorhombic
total energy	-5.390	eV/atom

Cell lengths 9.2617, 9.2617, 12.9166 Å; angles 90.00, 90.00, 154.11 degrees
Closest atoms and distances in Å follow each position.
Atoms (fractional coordinates):
La  0.1223  0.8777  0.5000  8 Se 3.06-3.33
La  0.1275  0.8725  0.8844  8 Se 3.05-3.29
La  0.8725  0.1275  0.3844  8 Se 3.05-3.29
La  0.8777  0.1223  0.0000  8 Se 3.06-3.33
Er  0.1991  0.8009  0.1979  5 Se 2.81-3.00
Er  0.8009  0.1991  0.6979  5 Se 2.81-3.00
In  0.4338  0.5662  0.6752  3 Se 2.66-2.68
In  0.5662  0.4338  0.1752  3 Se 2.66-2.68
Se  0.0295  0.9705  0.2964  2 In 2.68
Se  0.2903  0.7097  0.5307  2 Er 3.00, 3 La 3.06-3.17, 1 In 3.19
Se  0.2979  0.7021  0.8538  2 Er 2.89, 3 La 3.10-3.15
Se  0.3548  0.6452  0.1988  1 Er 2.81
Se  0.4934  0.5066  0.4865  1 In 2.66
Se  0.5066  0.4934  0.9865  1 In 2.66
Se  0.6452  0.3548  0.6988  1 Er 2.81
Se  0.7021  0.2979  0.3538  2 Er 2.89, 3 La 3.10-3.15
Se  0.7097  0.2903  0.0307  2 Er 3.00, 3 La 3.06-3.17, 1 In 3.19
Se  0.9705  0.0295  0.7964  2 In 2.68

# 4
VASP calculation (PBE-GGA) on crystalline LaSm2ErIn4 at its relaxed geometry.

Properties
space-group type	R-3m, No. 166
crystal system	trigonal
total energy	-4.210	eV/atom

Cell lengths 9.4351, 9.4351, 9.4351 Å; angles 33.38, 33.38, 33.38 degrees
Closest atoms and distances in Å follow each position.
Atoms (fractional coordinates):
La  0.0000  0.0000  0.0000  8 In 3.34-3.40
Sm  0.2490  0.2490  0.2490  8 In 3.25-3.43
Sm  0.7510  0.7510  0.7510  8 In 3.25-3.43
Er  0.5000  0.5000  0.5000  8 In 3.27-3.30
In  0.1272  0.1272  0.1272  4 Sm 3.25-3.33, 3 Er 3.30, 1 La 3.40
In  0.3775  0.3775  0.3775  1 Er 3.27, 4 Sm 3.31-3.43, 3 La 3.34
In  0.6225  0.6225  0.6225  1 Er 3.27, 4 Sm 3.31-3.43, 3 La 3.34
In  0.8728  0.8728  0.8728  4 Sm 3.25-3.33, 3 Er 3.30, 1 La 3.40

# 5
VASP calculation (PBE-GGA) on crystalline LaSmErIn at its relaxed geometry.

Properties
space-group type	F-43m, No. 216
crystal system	cubic
total energy	-4.401	eV/atom

Cell lengths 5.5738, 5.5738, 5.5738 Å; angles 60.00, 60.00, 60.00 degrees
Closest atoms and distances in Å follow each position.
Atoms (fractional coordinates):
La  0.0000  0.0000  0.0000  4 In 3.41, 4 Er 3.41
Sm  0.5000  0.5000  0.5000  4 In 3.41, 4 Er 3.41
Er  0.7500  0.7500  0.7500  4 La 3.41, 4 Sm 3.41
In  0.2500  0.2500  0.2500  4 La 3.41, 4 Sm 3.41

# 6
VASP calculation (PBE-GGA) on crystalline La2SmErIn2 at its relaxed geometry.

Properties
space-group type	Pmc2_1, No. 26
crystal system	orthorhombic
total energy	-4.458	eV/atom

Cell lengths 5.1959, 10.2719, 6.9137 Å; angles 90.00, 90.00, 90.00 degrees
Closest atoms and distances in Å follow each position.
Atoms (fractional coordinates):
La  0.0000  0.0580  0.0000  4 La 3.29-3.66, 5 In 3.40-3.68
La  0.0000  0.9420  0.5000  4 La 3.29-3.66, 5 In 3.40-3.68
La  0.5000  0.1786  0.2315  2 La 3.29, 5 In 3.36-3.58
La  0.5000  0.8214  0.7315  2 La 3.29, 5 In 3.36-3.58
Sm  0.5000  0.4582  0.8759  5 In 3.26-3.47, 2 Sm 3.56, 2 Er 3.58
Sm  0.5000  0.5418  0.3759  5 In 3.26-3.47, 2 Sm 3.56, 2 Er 3.58
Er  0.0000  0.3102  0.5954  4 In 3.16-3.24
Er  0.0000  0.6898  0.0954  4 In 3.16-3.24
In  0.0000  0.3834  0.1394  2 Er 3.16-3.24, 4 Sm 3.26-3.47, 3 La 3.40-3.48
In  0.0000  0.6166  0.6394  2 Er 3.16-3.24, 4 Sm 3.26-3.47, 3 La 3.40-3.48
In  0.5000  0.1500  0.7149  2 Er 3.18, 4 La 3.36-3.40, 1 Sm 3.36
In  0.5000  0.8500  0.2149  2 Er 3.18, 4 La 3.36-3.40, 1 Sm 3.36